Cs2YPuSe4 after structural relaxation, computed with PBE.

a b c (Å): 7.4872 4.3104 8.7146
angles (deg): 90.00 106.60 90.00
Space group P2/m (No. 10)
Symmetry-distinct sites (fractional):
Cs1 0.0000 0.0000 0.0000 [1 per cell]
Cs2 0.5000 0.5000 0.0000 [1 per cell]
Y1 0.0000 0.5000 0.5000 [1 per cell]
Pu1 0.5000 0.0000 0.5000 [1 per cell]
Se1 0.2248 0.0000 0.6859 [2 per cell]
Se2 0.2695 0.5000 0.3157 [2 per cell]

## Properties
Final energy (eV per cell): -49.0
Mass density (g/cm3): 5.63
Raw formation energy (meV per atom): -1575

=====

Y4TmS6 after structural relaxation, computed with PBE.

a b c (Å): 3.8119 12.8855 19.8298
angles (deg): 90.00 90.00 90.00
Space group Cmcm (No. 63)
Symmetry-distinct sites (fractional):
Y1 0.0000 0.0909 0.1285 [8 per cell]
Y2 0.0000 0.3607 0.0401 [8 per cell]
Tm1 0.0000 0.1513 0.7500 [4 per cell]
S1 0.0000 0.0000 0.0000 [4 per cell]
S2 0.0000 0.1976 0.2500 [4 per cell]
S3 0.0000 0.2705 0.5891 [8 per cell]
S4 0.0000 0.4471 0.1684 [8 per cell]

## Properties
Final energy (eV per cell): -309.6
Mass density (g/cm3): 4.89
Raw formation energy (meV per atom): -2028

=====

VZnH after structural relaxation, computed with PBE.

a b c (Å): 4.4163 2.8765 10.3738
angles (deg): 90.00 90.00 90.00
Space group Pnma (No. 62)
Symmetry-distinct sites (fractional):
V1 0.2246 0.2500 0.0360 [4 per cell]
Zn1 0.2364 0.7500 0.8063 [4 per cell]
H1 0.0357 0.2500 0.5765 [4 per cell]

## Properties
Final energy (eV per cell): -54.1
Mass density (g/cm3): 5.92
Energy above the lowest structure with this stoichiometry (meV per atom): 123.0

=====

Among the records above, which one has the lowest final energy?
Y4TmS6

=====

Among the records above, which one has the highest final energy?
Cs2YPuSe4

=====

Look up the final energy of the first one.
-49.0 eV per cell